Compound: YCuHN2
Source: Alexandria
Functional: PBE
Structure: optimized geometry

## Properties
space group = P4/mmm, No. 123
VASP energy = -5.185 eV/atom

Cell lengths 3.872, 3.525, 3.872 Å; angles 90.00, 90.00, 90.00 degrees
Fractional positions:
1 Y 0.000 0.500 0.000
2 H 0.000 0.000 0.000
3 Cu 0.500 0.500 0.500
4 N 0.000 0.000 0.500
5 N 0.500 0.000 0.000

---

Compound: Na2CuH
Source: Alexandria
Functional: PBE
Structure: optimized geometry

## Properties
space group = I-42d, No. 122
VASP energy = -2.282 eV/atom

Cell lengths 6.636, 6.636, 6.034 Å; angles 56.64, 56.64, 90.00 degrees
Fractional positions:
1 Na 0.534 0.125 0.250
2 Na 0.216 0.625 0.250
3 Na 0.375 0.466 0.750
4 Na 0.875 0.784 0.750
5 Cu 0.000 0.000 0.000
6 Cu 0.750 0.250 0.500
7 H 0.500 0.500 0.000
8 H 0.250 0.750 0.500

---

Compound: NaCu2H
Source: Alexandria
Functional: PBE
Structure: optimized geometry

## Properties
space group = Fm-3m, No. 225
VASP energy = -2.324 eV/atom

Cell lengths 4.262, 4.262, 4.262 Å; angles 60.00, 60.00, 60.00 degrees
Fractional positions:
1 Na 0.500 0.500 0.500
2 Cu 0.250 0.250 0.250
3 Cu 0.750 0.750 0.750
4 H 0.000 0.000 0.000

---

Compound: NaCu2H
Source: Alexandria
Functional: PBE
Structure: optimized geometry

## Properties
space group = I4_1/amd, No. 141
VASP energy = -3.020 eV/atom

Cell lengths 5.410, 5.410, 5.390 Å; angles 59.88, 59.88, 90.00 degrees
Fractional positions:
1 Na 0.000 0.000 0.000
2 Na 0.750 0.250 0.500
3 Cu 0.375 0.125 0.250
4 Cu 0.375 0.625 0.250
5 Cu 0.375 0.625 0.750
6 Cu 0.875 0.625 0.750
7 H 0.500 0.500 0.000
8 H 0.250 0.750 0.500